No. 1
ScHgCl2: optimized geometry, PBE.

```
ScHgCl2
1.0
3.501 0.000 0.000
0.000 3.502 0.000
0.000 0.000 10.125
Sc Hg Cl
1 1 2
Direct
0.500 0.500 0.962 Sc
0.000 0.000 0.488 Hg
0.000 0.000 0.865 Cl
0.500 0.500 0.185 Cl
```

Summary:
The distance to the lowest polymorph of the same formula is 277.0 meV/atom. The value obtained for the total magnetization is 0.0 μB per cell. As for the formation energy without anion corrections: -1.113 eV/atom.



No. 2
YTmGeIr: optimized geometry, PBE.

```
YTmGeIr
1.0
4.086 0.000 0.000
0.000 4.036 0.000
-2.043 0.000 5.343
Y Tm Ge Ir
1 1 1 1
Direct
0.144 0.000 0.289 Y
0.863 0.500 0.726 Tm
0.574 0.500 0.148 Ge
0.419 0.000 0.838 Ir
```

Summary:
The distance to the lowest polymorph of the same formula is 0.0 meV/atom. The value obtained for the total magnetization is 0.0 μB per cell. Its energy of formation from the pure elements is -875 meV/atom.



No. 3
SrNpGa2Cl8: optimized geometry, PBE.

```
SrNpGa2Cl8
1.0
6.920 -0.158 -0.004
-0.162 6.810 -0.008
0.005 0.010 8.661
Sr Np Ga Cl
1 1 2 8
Direct
0.000 0.000 0.500 Sr
0.000 0.000 0.000 Np
0.500 0.500 0.735 Ga
0.500 0.500 0.265 Ga
0.153 0.794 0.228 Cl
0.700 0.764 0.000 Cl
0.847 0.206 0.228 Cl
0.847 0.206 0.772 Cl
0.300 0.236 0.000 Cl
0.153 0.794 0.772 Cl
0.674 0.717 0.500 Cl
0.326 0.283 0.500 Cl
```

Summary:
The value obtained for the total magnetization is 3.0 μB per cell. As for the formation energy without anion corrections: -1.528 eV/atom.



No. 4
PmGdGaRu: optimized geometry, PBE.

```
PmGdGaRu
1.0
5.025 0.000 0.000
2.513 4.352 0.000
2.513 1.451 4.103
Ru Gd Ga Pm
1 1 1 1
Direct
0.750 0.750 0.750 Ru
0.000 0.000 0.000 Gd
0.250 0.250 0.250 Ga
0.500 0.500 0.500 Pm
```

Summary:
The value obtained for the total magnetization is 7.0 μB per cell. Its energy of formation from the pure elements is -370 meV/atom.



No. 5
YFeCl4: optimized geometry, PBE.

```
YFeCl4
1.0
-0.249 -5.683 -1.130
-5.142 -2.627 -0.537
-1.783 -1.847 -5.200
Y Fe Cl
1 1 4
Direct
0.000 0.000 0.000 Y
0.750 0.750 0.750 Fe
0.875 0.375 0.375 Cl
0.375 0.375 0.875 Cl
0.375 0.875 0.375 Cl
0.375 0.375 0.375 Cl
```

Summary:
The value obtained for the total magnetization is 4.9 μB per cell. As for the formation energy without anion corrections: 0.212 eV/atom.



No. 6
K2RbTcH6: optimized geometry, PBE.

```
K2RbTcH6
1.0
6.138 0.000 0.000
0.000 6.207 0.000
3.069 3.103 4.374
K Rb Tc H
2 1 1 6
Direct
0.245 0.745 0.510 K
0.755 0.255 0.490 K
0.000 0.000 0.000 Rb
0.500 0.500 0.000 Tc
0.290 0.697 0.000 H
0.710 0.697 0.000 H
0.297 0.297 0.406 H
0.710 0.303 0.000 H
0.290 0.303 0.000 H
0.703 0.703 0.594 H
```

Summary:
The value obtained for the total magnetization is 2.0 μB per cell. For the total energy, the calculation gives -34.267 eV per cell.